1.
A relaxed CaNiSb2 crystal. Source: Alexandria, functional GGA-PBE.

- Uncorrected formation energy: -361 meV per atom
- SG: P4mm (99)
- Density of states at the Fermi level: 1.57 states/eV/f.u.

The structure in POSCAR format:
```
CaNiSb2
1.0
4.603 0.000 0.000
0.000 4.603 0.000
0.000 0.000 4.849
Ca Ni Sb
1 1 2
Direct
0.000 0.000 0.000 Ca
0.500 0.500 0.725 Ni
0.000 0.500 0.498 Sb
0.500 0.000 0.498 Sb
```

=====

2.
A relaxed PrLu2Cd crystal. Source: Alexandria, functional GGA-PBE.

- Energy of formation: 0.059 eV/atom
- Excess energy over the best structure of this formula in the dataset: 19.5 kJ per mole of atoms
- SG: Fm-3m (225)
- Density of states at the Fermi level: 7.17 states/eV/f.u.

The structure in POSCAR format:
```
PrLu2Cd
1.0
7.684 0.000 0.000
0.000 7.684 0.000
0.000 0.000 7.684
Pr Lu Cd
4 8 4
Direct
0.000 0.000 0.000 Pr
0.000 0.500 0.500 Pr
0.500 0.000 0.500 Pr
0.500 0.500 0.000 Pr
0.250 0.250 0.250 Lu
0.250 0.250 0.750 Lu
0.250 0.750 0.250 Lu
0.250 0.750 0.750 Lu
0.750 0.250 0.250 Lu
0.750 0.250 0.750 Lu
0.750 0.750 0.250 Lu
0.750 0.750 0.750 Lu
0.000 0.000 0.500 Cd
0.000 0.500 0.000 Cd
0.500 0.000 0.000 Cd
0.500 0.500 0.500 Cd
```

=====

3.
A relaxed MnAgHg2 crystal. Source: Alexandria, functional GGA-PBE.

- Energy of formation: 0.251 eV/atom
- SG: Imm2 (44)
- Density of states at the Fermi level: 1.79 states/eV/f.u.

The structure in POSCAR format:
```
MnAgHg2
1.0
3.344 0.000 0.000
0.000 4.796 0.000
0.000 0.000 9.835
Mn Ag Hg
2 2 4
Direct
0.000 0.000 0.000 Mn
0.500 0.500 0.500 Mn
0.000 0.500 0.731 Ag
0.500 0.000 0.231 Ag
0.000 0.000 0.497 Hg
0.000 0.500 0.264 Hg
0.500 0.000 0.764 Hg
0.500 0.500 0.997 Hg
```

=====

4.
A relaxed YTcSnP2 crystal. Source: Alexandria, functional GGA-PBE.

- Energy of formation: 1.400 eV/atom
- SG: P4/mmm (123)
- Density of states at the Fermi level: 2.88 states/eV/f.u.

The structure in POSCAR format:
```
YTcSnP2
1.0
4.983 0.000 0.000
0.000 4.983 0.000
0.000 0.000 5.652
Y Tc Sn P
1 1 1 2
Direct
0.000 0.000 0.000 Y
0.500 0.500 0.000 Tc
0.000 0.000 0.500 Sn
0.000 0.500 0.500 P
0.500 0.000 0.500 P
```

=====

5.
A relaxed YTa2Os2 crystal. Source: Alexandria, functional GGA-PBE.

- Energy of formation: -0.091 eV/atom
- Excess energy over the best structure of this formula in the dataset: 21.7 kJ per mole of atoms
- SG: P4/mbm (127)
- Density of states at the Fermi level: 4.18 states/eV/f.u.

The structure in POSCAR format:
```
YTa2Os2
1.0
7.902 0.000 0.000
0.000 7.902 0.000
0.000 0.000 2.958
Y Ta Os
2 4 4
Direct
0.000 0.000 0.000 Y
0.500 0.500 0.000 Y
0.143 0.357 0.000 Ta
0.357 0.857 0.000 Ta
0.643 0.143 0.000 Ta
0.857 0.643 0.000 Ta
0.149 0.649 0.500 Os
0.351 0.149 0.500 Os
0.649 0.851 0.500 Os
0.851 0.351 0.500 Os
```

=====

6.
A relaxed TaReSi2 crystal. Source: Alexandria, functional GGA-PBE.

- Uncorrected formation energy: -107 meV per atom
- SG: P2/m (10)
- Density of states at the Fermi level: 2.84 states/eV/f.u.

The structure in POSCAR format:
```
TaReSi2
1.0
2.986 0.000 0.000
0.000 4.066 0.000
-0.157 0.000 5.040
Ta Re Si
1 1 2
Direct
0.000 0.000 0.000 Ta
0.500 0.000 0.500 Re
0.473 0.500 0.758 Si
0.527 0.500 0.242 Si
```

=====

7.
A relaxed CaTlSeNF crystal. Source: Alexandria, functional GGA-PBE.

- Uncorrected formation energy: -1121 meV per atom
- Excess energy over the best structure of this formula in the dataset: 1.0 kJ per mole of atoms
- SG: Cm (8)
- Density of states at the Fermi level: 1.00 states/eV/f.u.

The structure in POSCAR format:
```
CaTlSeNF
1.0
17.801 0.000 0.000
0.000 3.587 0.000
-0.575 0.000 3.210
Ca Tl Se N F
2 2 2 2 2
Direct
0.000 0.000 0.000 Ca
0.500 0.500 0.000 Ca
0.220 0.500 0.729 Tl
0.720 0.000 0.729 Tl
0.353 0.000 0.359 Se
0.853 0.500 0.359 Se
0.455 0.000 0.456 N
0.955 0.500 0.456 N
0.091 0.000 0.587 F
0.591 0.500 0.587 F
```

=====

8.
A relaxed Nd6Hg2BiTe3 crystal. Source: Alexandria, functional GGA-PBE.

- Uncorrected formation energy: -1016 meV per atom
- SG: C2/m (12)
- Density of states at the Fermi level: 7.25 states/eV/f.u.

The structure in POSCAR format:
```
Nd6Hg2BiTe3
1.0
10.040 -2.222 0.000
10.040 2.222 0.000
-2.878 0.000 8.686
Nd Hg Bi Te
6 2 1 3
Direct
0.006 0.006 0.253 Nd
0.330 0.330 0.892 Nd
0.337 0.337 0.395 Nd
0.663 0.663 0.605 Nd
0.670 0.670 0.108 Nd
0.994 0.994 0.747 Nd
0.178 0.178 0.368 Hg
0.822 0.822 0.632 Hg
0.500 0.500 0.000 Bi
0.162 0.162 0.853 Te
0.500 0.500 0.500 Te
0.838 0.838 0.147 Te
```

=====

9.
A relaxed Rb3MnC crystal. Source: Alexandria, functional GGA-PBE.

- Energy of formation: 1.387 eV/atom
- Excess energy over the best structure of this formula in the dataset: 0.0 kJ per mole of atoms
- SG: Pm-3m (221)
- Density of states at the Fermi level: 5.23 states/eV/f.u.

The structure in POSCAR format:
```
Rb3MnC
1.0
6.142 0.000 0.000
0.000 6.142 0.000
0.000 0.000 6.142
Rb Mn C
3 1 1
Direct
0.000 0.000 0.500 Rb
0.000 0.500 0.000 Rb
0.500 0.000 0.000 Rb
0.500 0.500 0.500 Mn
0.000 0.000 0.000 C
```

=====

10.
A relaxed AcPrNd2 crystal. Source: Alexandria, functional GGA-PBE.

- Energy of formation: 0.020 eV/atom
- Excess energy over the best structure of this formula in the dataset: 0.0 kJ per mole of atoms
- SG: P4/mmm (123)
- Density of states at the Fermi level: 6.66 states/eV/f.u.

The structure in POSCAR format:
```
AcPrNd2
1.0
5.323 0.000 0.000
0.000 5.323 0.000
0.000 0.000 5.303
Ac Pr Nd
1 1 2
Direct
0.000 0.000 0.000 Ac
0.500 0.500 0.000 Pr
0.000 0.500 0.500 Nd
0.500 0.000 0.500 Nd
```

=====

11.
A relaxed LaFeTc2 crystal. Source: Alexandria, functional GGA-PBE.

- Energy of formation: 0.657 eV/atom
- Excess energy over the best structure of this formula in the dataset: 44.1 kJ per mole of atoms
- SG: R-3m (166)
- Density of states at the Fermi level: 5.76 states/eV/f.u.

The structure in POSCAR format:
```
LaFeTc2
1.0
2.910 0.000 0.000
-1.455 2.520 0.000
0.000 0.000 28.197
La Fe Tc
3 3 6
Direct
0.000 0.000 0.000 La
0.333 0.667 0.667 La
0.667 0.333 0.333 La
0.000 0.000 0.500 Fe
0.333 0.667 0.167 Fe
0.667 0.333 0.833 Fe
0.000 0.000 0.235 Tc
0.000 0.000 0.765 Tc
0.333 0.667 0.432 Tc
0.333 0.667 0.902 Tc
0.667 0.333 0.098 Tc
0.667 0.333 0.568 Tc
```

=====

12.
A relaxed ErMnAs2 crystal. Source: Alexandria, functional GGA-PBE.

- Energy of formation: -0.687 eV/atom
- SG: R-3m (166)
- Density of states at the Fermi level: 2.52 states/eV/f.u.

The structure in POSCAR format:
```
ErMnAs2
1.0
3.924 0.000 0.000
-1.962 3.398 0.000
0.000 0.000 18.054
Er Mn As
3 3 6
Direct
0.000 0.000 0.000 Er
0.333 0.667 0.667 Er
0.667 0.333 0.333 Er
0.000 0.000 0.500 Mn
0.333 0.667 0.167 Mn
0.667 0.333 0.833 Mn
0.000 0.000 0.238 As
0.000 0.000 0.762 As
0.333 0.667 0.429 As
0.333 0.667 0.904 As
0.667 0.333 0.096 As
0.667 0.333 0.571 As
```

=====

13.
A relaxed Be2RhPb crystal. Source: Alexandria, functional GGA-PBE.

- Energy of formation: -0.018 eV/atom
- SG: P2/m (10)
- Density of states at the Fermi level: 1.76 states/eV/f.u.

The structure in POSCAR format:
```
Be2RhPb
1.0
2.973 0.000 0.000
0.000 3.046 0.000
-1.199 0.000 6.800
Be Rh Pb
2 1 1
Direct
0.066 0.000 0.158 Be
0.934 0.000 0.842 Be
0.500 0.500 0.000 Rh
0.500 0.500 0.500 Pb
```

=====

14.
A relaxed As3Cl crystal. Source: Alexandria, functional GGA-PBE.

- Uncorrected formation energy: 17 meV per atom
- Excess energy over the best structure of this formula in the dataset: 1.0 kJ per mole of atoms
- SG: P2/m (10)
- Density of states at the Fermi level: 1.50 states/eV/f.u.

The structure in POSCAR format:
```
As3Cl
1.0
4.016 0.000 0.000
0.000 4.841 0.000
-1.996 0.000 4.811
As Cl
3 1
Direct
0.000 0.000 0.000 As
0.337 0.500 0.165 As
0.663 0.500 0.835 As
0.000 0.000 0.500 Cl
```

=====

15.
A relaxed Re2Mo crystal. Source: Alexandria, functional GGA-PBE.

- Energy of formation: 0.148 eV/atom
- Excess energy over the best structure of this formula in the dataset: 3.1 kJ per mole of atoms
- SG: Cm (8)
- Density of states at the Fermi level: 2.91 states/eV/f.u.

The structure in POSCAR format:
```
Re2Mo
1.0
10.315 0.000 0.000
0.000 2.789 0.000
-1.883 0.000 6.394
Re Mo
8 4
Direct
0.000 0.000 0.000 Re
0.052 0.000 0.613 Re
0.217 0.500 0.948 Re
0.397 0.000 0.272 Re
0.500 0.500 0.000 Re
0.552 0.500 0.613 Re
0.717 0.000 0.948 Re
0.897 0.500 0.272 Re
0.170 0.500 0.331 Mo
0.333 0.000 0.675 Mo
0.670 0.000 0.331 Mo
0.833 0.500 0.675 Mo
```

=====

16.
A relaxed ZnFeHg3 crystal. Source: Alexandria, functional GGA-PBE.

- Energy of formation: 0.823 eV/atom
- Excess energy over the best structure of this formula in the dataset: 29.0 kJ per mole of atoms
- SG: Pm-3m (221)
- Density of states at the Fermi level: 7.21 states/eV/f.u.

The structure in POSCAR format:
```
ZnFeHg3
1.0
5.099 0.000 0.000
0.000 5.099 0.000
0.000 0.000 5.099
Zn Fe Hg
1 1 3
Direct
0.000 0.000 0.000 Zn
0.500 0.500 0.500 Fe
0.000 0.000 0.500 Hg
0.000 0.500 0.000 Hg
0.500 0.000 0.000 Hg
```

=====

17.
A relaxed InAg3Sb3 crystal. Source: Alexandria, functional GGA-PBE.

- Uncorrected formation energy: 350 meV per atom
- SG: Pm-3n (223)
- Density of states at the Fermi level: 5.07 states/eV/f.u.

The structure in POSCAR format:
```
InAg3Sb3
1.0
7.678 0.000 0.000
0.000 7.678 0.000
0.000 0.000 7.678
In Ag Sb
2 6 6
Direct
0.000 0.000 0.000 In
0.500 0.500 0.500 In
0.000 0.250 0.500 Ag
0.000 0.750 0.500 Ag
0.250 0.500 0.000 Ag
0.500 0.000 0.250 Ag
0.500 0.000 0.750 Ag
0.750 0.500 0.000 Ag
0.000 0.500 0.250 Sb
0.000 0.500 0.750 Sb
0.250 0.000 0.500 Sb
0.500 0.250 0.000 Sb
0.500 0.750 0.000 Sb
0.750 0.000 0.500 Sb
```

=====

18.
A relaxed LiTl2Hg4 crystal. Source: Alexandria, functional GGA-PBE.

- Energy of formation: 0.009 eV/atom
- Excess energy over the best structure of this formula in the dataset: 10.9 kJ per mole of atoms
- SG: Cmmm (65)
- Density of states at the Fermi level: 3.47 states/eV/f.u.

The structure in POSCAR format:
```
LiTl2Hg4
1.0
11.304 0.000 0.000
0.000 12.320 0.000
0.000 0.000 3.261
Li Tl Hg
2 4 8
Direct
0.000 0.000 0.000 Li
0.500 0.500 0.000 Li
0.250 0.250 0.500 Tl
0.250 0.750 0.500 Tl
0.750 0.250 0.500 Tl
0.750 0.750 0.500 Tl
0.000 0.233 0.000 Hg
0.000 0.767 0.000 Hg
0.207 0.000 0.500 Hg
0.293 0.500 0.500 Hg
0.500 0.267 0.000 Hg
0.500 0.733 0.000 Hg
0.707 0.500 0.500 Hg
0.793 0.000 0.500 Hg
```

=====

19.
A relaxed Er8In3Ga2 crystal. Source: Alexandria, functional GGA-PBE.

- Energy of formation: -0.244 eV/atom
- SG: Cmmm (65)
- Density of states at the Fermi level: 12.79 states/eV/f.u.

The structure in POSCAR format:
```
Er8In3Ga2
1.0
4.403 -7.706 0.000
4.403 7.706 0.000
0.000 0.000 5.305
Er In Ga
8 3 2
Direct
0.110 0.890 0.000 Er
0.157 0.410 0.500 Er
0.315 0.685 0.000 Er
0.410 0.157 0.500 Er
0.590 0.843 0.500 Er
0.685 0.315 0.000 Er
0.843 0.590 0.500 Er
0.890 0.110 0.000 Er
0.000 0.000 0.500 In
0.321 0.321 0.000 In
0.679 0.679 0.000 In
0.227 0.773 0.500 Ga
0.773 0.227 0.500 Ga
```

=====

20.
A relaxed YBe2MoPt crystal. Source: Alexandria, functional GGA-PBE.

- Energy of formation: 1.042 eV/atom
- SG: P4/mmm (123)
- Density of states at the Fermi level: 4.30 states/eV/f.u.

The structure in POSCAR format:
```
YBe2MoPt
1.0
4.371 0.000 0.000
0.000 4.371 0.000
0.000 0.000 4.988
Y Be Mo Pt
1 2 1 1
Direct
0.000 0.000 0.000 Y
0.000 0.500 0.500 Be
0.500 0.000 0.500 Be
0.000 0.000 0.500 Mo
0.500 0.500 0.000 Pt
```